An optimized crystal structure of Na3VS3O. Source: the Alexandria database, functional PBE+U.

a = 7.7424 Å, b = 7.7424 Å, c = 5.9719 Å
α = 90.00°, β = 90.00°, γ = 101.89°
Last column: nearest neighbours and their distance in Å.
Sites, in units of the cell vectors:
S 0.1189 0.8811 0.0165  1 V 2.21
S 0.8126 0.5653 0.4996  1 V 2.19
S 0.4347 0.1874 0.4996  1 V 2.19
S 0.1874 0.4347 0.9996  1 V 2.19
S 0.8811 0.1189 0.5165  1 V 2.21
S 0.5653 0.8126 0.9996  1 V 2.19
V 0.7035 0.2965 0.6147  1 O 1.70
V 0.2965 0.7035 0.1147  1 O 1.70
Na 0.8256 0.5855 0.0175  1 O 2.33
Na 0.1744 0.4145 0.5175  1 O 2.33
Na 0.4145 0.1744 0.0175  1 O 2.33
Na 0.1190 0.8810 0.5371  1 O 2.34
Na 0.8810 0.1190 0.0371  1 O 2.34
Na 0.5855 0.8256 0.5175  1 O 2.33
O 0.6989 0.3011 0.8987  1 V 1.70
O 0.3011 0.6989 0.3987  1 V 1.70

Computed properties:
The magnetization is 0.0 μB/f.u. The calculation puts the final energy at -76.02 eV per cell.